First-principles (GGA-PBE) data for crystalline Pr3Zn4Ni2 at its relaxed geometry, as listed in Alexandria via LeMat-Bulk.

Values from the calculation:
Excess energy over the best structure of this formula in the dataset: 0.019 eV/atom

Geometry as POSCAR:
```
Pr3Zn4Ni2
1.0
4.596 0.000 0.000
-2.298 4.984 0.140
0.000 -1.834 8.176
Pr Zn Ni
3 4 2
Cartesian
0.000 3.247 2.590
0.000 0.000 0.000
2.298 -0.098 5.725
2.298 2.891 4.909
2.298 1.965 0.735
0.000 1.185 7.580
0.000 0.259 3.406
2.298 1.160 3.066
0.000 1.989 5.249
```

---

First-principles (GGA-PBE) data for crystalline PrZn8Ni4 at its relaxed geometry, as listed in Alexandria via LeMat-Bulk.

Geometry as POSCAR:
```
PrZn8Ni4
1.0
-1.199 -1.267 -4.767
2.534 -5.867 -1.781
-5.664 -3.434 -0.365
Zn Ni Pr
8 4 1
Cartesian
-2.464 -6.530 -3.049
0.082 -5.951 -3.844
-4.411 -4.617 -3.068
-1.036 -2.449 -1.791
-1.865 -4.038 -3.863
-2.837 -4.273 -0.853
-0.294 -5.028 -1.292
-3.294 -8.119 -5.121
0.667 -3.567 -3.274
1.267 -2.933 -0.890
-3.432 -2.351 -2.566
-2.832 -1.717 -0.182
0.000 0.000 0.000
```

---

First-principles (GGA-PBE) data for crystalline PrZnNi at its relaxed geometry, as listed in Alexandria via LeMat-Bulk.

Values from the calculation:
Excess energy over the best structure of this formula in the dataset: 0.003 eV/atom

Geometry as POSCAR:
```
PrZnNi
1.0
4.133 0.000 0.000
0.000 8.108 0.000
0.000 0.000 7.005
Zn Ni Pr
4 4 4
Cartesian
1.033 0.497 6.007
1.033 3.557 2.505
3.099 7.611 0.997
3.099 4.551 4.500
3.099 7.165 5.375
1.033 0.943 1.630
3.099 4.997 1.873
1.033 3.111 5.132
3.099 2.527 0.272
1.033 5.581 6.733
3.099 1.527 3.774
1.033 6.581 3.230
```

---

Energy of formation from the pure elements values (in meV per atom) by entry order: -312; -272; -358.